This record from Alexandria describes a crystal of ZnS2IN relaxed with PBEsol. The functional is meta-GGA SCAN.

extended XYZ file:
```
5
Lattice="3.883 0.000 0.000 0.000 5.107 0.000 0.000 0.000 5.107" Properties=species:S:1:pos:R:3 pbc="T T T"
S 0.000 0.000 2.554
I 0.000 0.000 0.000
Zn 1.941 2.554 2.554
S 0.000 2.554 0.000
N 1.941 0.000 0.000
```

total magnetization = 0.00 μB per atom
energy relative to the elements, uncorrected = 30.7 kcal/mol of atoms
E = -14.4286 eV/atom